(1)
Pm2ErAu6 | PBE | optimized geometry

```
Pm2ErAu6
1.0
6.637 0.000 0.000
-3.318 5.748 0.000
0.000 0.000 5.517
Pm Er Au
2 1 6
Direct
0.333 0.667 0.164
0.667 0.333 0.836
0.000 0.000 0.000
0.188 0.377 0.678
0.188 0.812 0.678
0.377 0.188 0.322
0.623 0.812 0.678
0.812 0.188 0.322
0.812 0.623 0.322
```

Output
The value obtained for the total energy is -4.391 eV per atom. The space-group type is P-3m1, No. 164. Its calculated volume is 23.4 A^3/atom.


(2)
Pm5Er12Au3 | PBE | optimized geometry

```
Pm5Er12Au3
1.0
-9.024 9.024 9.024
9.024 -9.024 9.024
9.024 9.024 -9.024
Pm Er Au
20 48 12
Direct
0.000 0.000 0.000
0.000 0.000 0.500
0.000 0.500 0.000
0.000 0.500 0.500
0.125 0.750 0.875
0.125 0.875 0.250
0.250 0.125 0.875
0.250 0.625 0.375
0.375 0.250 0.625
0.375 0.625 0.750
0.500 0.000 0.000
0.500 0.000 0.500
0.500 0.500 0.000
0.500 0.500 0.500
0.625 0.375 0.250
0.625 0.750 0.375
0.750 0.375 0.625
0.750 0.875 0.125
0.875 0.125 0.750
0.875 0.250 0.125
0.047 0.634 0.395
0.047 0.914 0.652
0.086 0.239 0.134
0.086 0.348 0.953
0.105 0.739 0.652
0.105 0.866 0.453
0.134 0.086 0.239
0.134 0.547 0.895
0.152 0.239 0.605
0.152 0.414 0.547
0.239 0.134 0.086
0.239 0.605 0.152
0.261 0.348 0.895
0.261 0.414 0.366
0.348 0.895 0.261
0.348 0.953 0.086
0.366 0.261 0.414
0.366 0.605 0.953
0.395 0.047 0.634
0.395 0.848 0.761
0.414 0.366 0.261
0.414 0.547 0.152
0.453 0.105 0.866
0.453 0.848 0.586
0.547 0.152 0.414
0.547 0.895 0.134
0.586 0.453 0.848
0.586 0.634 0.739
0.605 0.152 0.239
0.605 0.953 0.366
0.634 0.395 0.047
0.634 0.739 0.586
0.652 0.047 0.914
0.652 0.105 0.739
0.739 0.586 0.634
0.739 0.652 0.105
0.761 0.395 0.848
0.761 0.866 0.914
0.848 0.586 0.453
0.848 0.761 0.395
0.866 0.453 0.105
0.866 0.914 0.761
0.895 0.134 0.547
0.895 0.261 0.348
0.914 0.652 0.047
0.914 0.761 0.866
0.953 0.086 0.348
0.953 0.366 0.605
0.125 0.250 0.375
0.125 0.375 0.750
0.250 0.375 0.125
0.250 0.875 0.625
0.375 0.125 0.250
0.375 0.750 0.125
0.625 0.250 0.875
0.625 0.875 0.750
0.750 0.125 0.375
0.750 0.625 0.875
0.875 0.625 0.250
0.875 0.750 0.625
```

Output
The value obtained for the total energy is -3.758 eV per atom. The space-group type is Ia-3d, No. 230. Its calculated volume is 36.7 A^3/atom.


(3)
Pm2ErAu2 | PBE | optimized geometry

```
Pm2ErAu2
1.0
7.499 0.000 0.000
0.000 7.499 0.000
0.000 0.000 4.778
Pm Er Au
4 2 4
Direct
0.164 0.336 0.000
0.336 0.836 0.000
0.664 0.164 0.000
0.836 0.664 0.000
0.000 0.000 0.500
0.500 0.500 0.500
0.137 0.637 0.500
0.363 0.137 0.500
0.637 0.863 0.500
0.863 0.363 0.500
```

Output
The space-group type is P4/mbm, No. 127. Its calculated volume is 26.9 A^3/atom. The excess energy over the best structure of this formula in the dataset is 0.000 eV per atom.


(4)
PmErAu4 | PBE | optimized geometry

```
PmErAu4
1.0
3.769 0.000 0.000
1.876 4.933 0.000
1.877 2.062 7.021
Pm Er Au
1 1 4
Direct
0.000 0.000 0.000
0.000 0.500 0.500
0.334 0.992 0.340
0.338 0.505 0.821
0.662 0.495 0.179
0.666 0.008 0.660
```

Output
The value obtained for the total energy is -4.569 eV per atom. The space-group type is P-1, No. 2. Its calculated volume is 21.8 A^3/atom.


(5)
Pm2ErAu | PBE | optimized geometry

```
Pm2ErAu
1.0
3.712 0.000 0.000
0.000 3.712 0.000
0.000 0.000 8.441
Pm Er Au
2 1 1
Direct
0.000 0.000 0.213
0.000 0.000 0.787
0.500 0.500 0.500
0.500 0.500 0.000
```

Output
The space-group type is P4/mmm, No. 123. Its calculated volume is 29.1 A^3/atom. The excess energy over the best structure of this formula in the dataset is 0.062 eV per atom.


(6)
Pm2Er3Au4 | PBE | optimized geometry

```
Pm2Er3Au4
1.0
3.503 -8.826 0.000
3.503 8.826 0.000
0.000 0.000 7.515
Pm Er Au
4 6 8
Direct
0.096 0.904 0.918
0.404 0.596 0.418
0.596 0.404 0.582
0.904 0.096 0.082
0.000 0.000 0.500
0.015 0.485 0.750
0.485 0.015 0.250
0.500 0.500 0.000
0.515 0.985 0.750
0.985 0.515 0.250
0.168 0.832 0.531
0.183 0.317 0.750
0.317 0.183 0.250
0.332 0.668 0.031
0.668 0.332 0.969
0.683 0.817 0.750
0.817 0.683 0.250
0.832 0.168 0.469
```

Output
The value obtained for the total energy is -4.721 eV per atom. The space-group type is Cmce, No. 64. Its calculated volume is 25.8 A^3/atom.


(7)
Pm3ErAu4 | PBE | optimized geometry

```
Pm3ErAu4
1.0
3.925 0.000 0.000
0.000 7.053 0.000
0.000 0.000 15.802
Pm Er Au
6 2 8
Direct
0.000 0.000 0.000
0.000 0.500 0.204
0.000 0.500 0.796
0.500 0.000 0.296
0.500 0.000 0.704
0.500 0.500 0.500
0.000 0.000 0.500
0.500 0.500 0.000
0.000 0.294 0.373
0.000 0.294 0.627
0.000 0.706 0.373
0.000 0.706 0.627
0.500 0.206 0.127
0.500 0.206 0.873
0.500 0.794 0.127
0.500 0.794 0.873
```

Output
The space-group type is Immm, No. 71. Its calculated volume is 27.3 A^3/atom. The excess energy over the best structure of this formula in the dataset is 0.151 eV per atom.


(8)
PmEr2Au2 | PBE | optimized geometry

```
PmEr2Au2
1.0
8.201 0.000 0.000
0.000 8.201 0.000
0.000 0.000 3.783
Pm Er Au
2 4 4
Direct
0.000 0.000 0.000
0.500 0.500 0.000
0.161 0.339 0.500
0.339 0.839 0.500
0.661 0.161 0.500
0.839 0.661 0.500
0.131 0.631 0.000
0.369 0.131 0.000
0.631 0.869 0.000
0.869 0.369 0.000
```

Output
The space-group type is P4/mbm, No. 127. Its calculated volume is 25.4 A^3/atom. The excess energy over the best structure of this formula in the dataset is 0.000 eV per atom.


What is the calculated volume in the seventh record?
27.3 A^3/atom